No. 1
{
  "formula": "YTc2As2",
  "functional": "meta-GGA SCAN",
  "state": "PBEsol geometry",
  "cell": [[-3.000, -0.183, 3.333], [3.335, 0.023, 3.003], [-0.307, 4.559, -3.048]],
  "species": ["Y", "As", "As", "Tc", "Tc"],
  "fractional_positions": [[0.000, 0.000, 0.000], [0.250, 0.750, 0.500], [0.750, 0.250, 0.500], [0.374, 0.374, 0.748], [0.626, 0.626, 0.252]],
  "total_energy_ev_per_atom": -28.19,
  "dos_ef_per_ev_cell": 3.8,
  "delta_e_f_mev_per_atom": -520
}


No. 2
{
  "formula": "MgTc",
  "functional": "meta-GGA SCAN",
  "state": "PBEsol geometry",
  "cell": [[-0.927, 0.778, -2.476], [0.294, -2.677, 0.583], [-9.213, -0.279, 3.362]],
  "species": ["Mg", "Mg", "Tc", "Tc"],
  "fractional_positions": [[0.667, 0.333, 0.948], [0.333, 0.667, 0.448], [0.667, 0.333, 0.681], [0.333, 0.667, 0.181]],
  "total_energy_ev_per_atom": -19.51,
  "dos_ef_per_ev_cell": 3.5,
  "de_polymorph_mev_per_atom": 571.2,
  "delta_e_f_mev_per_atom": 505
}


No. 3
{
  "formula": "Be2GePt2",
  "functional": "meta-GGA SCAN",
  "state": "PBEsol geometry",
  "cell": [[-2.607, -1.548, 1.094], [-0.631, -1.044, -2.983], [5.064, -3.768, 1.988]],
  "species": ["Be", "Be", "Ge", "Pt", "Pt"],
  "fractional_positions": [[0.250, 0.750, 0.500], [0.750, 0.250, 0.500], [0.000, 0.000, 0.000], [0.386, 0.386, 0.771], [0.614, 0.614, 0.229]],
  "total_energy_ev_per_atom": -34.15,
  "dos_ef_per_ev_cell": 1.3,
  "delta_e_f_mev_per_atom": -514
}


No. 4
{
  "formula": "LaOF3",
  "functional": "meta-GGA SCAN",
  "state": "PBEsol geometry",
  "cell": [[-1.608, -3.202, -1.851], [1.446, -2.402, 2.899], [-3.404, 0.492, 2.106]],
  "species": ["F", "F", "F", "O", "La"],
  "fractional_positions": [[0.000, 0.500, 0.000], [0.000, 0.000, 0.500], [0.500, 0.000, 0.000], [0.000, 0.000, 0.000], [0.500, 0.500, 0.500]],
  "total_energy_ev_per_atom": -13.94,
  "dos_ef_per_ev_cell": 3.3,
  "formation_energy_uncorrected_mev_per_atom": -1945
}


No. 5
{
  "formula": "InHgRu2",
  "functional": "meta-GGA SCAN",
  "state": "PBEsol geometry",
  "cell": [[3.193, 0.000, 0.000], [0.000, 3.193, 0.000], [0.000, 0.000, 6.405]],
  "species": ["Hg", "In", "Ru", "Ru"],
  "fractional_positions": [[0.500, 0.500, 0.000], [0.500, 0.500, 0.500], [0.000, 0.000, 0.743], [0.000, 0.000, 0.257]],
  "total_energy_ev_per_atom": -42.36,
  "dos_ef_per_ev_cell": 3.9,
  "de_polymorph_mev_per_atom": 0.0,
  "delta_e_f_mev_per_atom": 437
}


No. 6
{
  "formula": "BaZr2Co",
  "functional": "meta-GGA SCAN",
  "state": "PBEsol geometry",
  "cell": [[-2.500, 0.296, 3.260], [-2.228, -3.159, -1.422], [5.334, -1.821, 1.654]],
  "species": ["Ba", "Co", "Zr", "Zr"],
  "fractional_positions": [[0.500, 0.500, 0.000], [0.000, 0.000, 0.000], [0.750, 0.250, 0.500], [0.250, 0.750, 0.500]],
  "total_energy_ev_per_atom": -28.64,
  "dos_ef_per_ev_cell": 4.3,
  "de_polymorph_mev_per_atom": 73.2,
  "delta_e_f_mev_per_atom": 919
}


No. 7
{
  "formula": "TiFe3Pb",
  "functional": "meta-GGA SCAN",
  "state": "PBEsol geometry",
  "cell": [[-3.100, 2.276, 2.761], [-0.479, -3.885, 2.663], [3.546, 1.465, 2.774]],
  "species": ["Pb", "Fe", "Fe", "Fe", "Ti"],
  "fractional_positions": [[0.000, 0.000, 0.000], [0.000, 0.500, 0.000], [0.000, 0.000, 0.500], [0.500, 0.000, 0.000], [0.500, 0.500, 0.500]],
  "total_energy_ev_per_atom": -27.82,
  "dos_ef_per_ev_cell": 3.6,
  "de_polymorph_mev_per_atom": 344.0,
  "delta_e_f_mev_per_atom": 1423
}


No. 8
{
  "formula": "CuAg2Te",
  "functional": "meta-GGA SCAN",
  "state": "PBEsol geometry",
  "cell": [[-1.941, 1.936, 2.905], [-3.479, -0.802, -1.791], [2.394, -4.346, 1.749]],
  "species": ["Ag", "Ag", "Cu", "Te"],
  "fractional_positions": [[0.750, 0.250, 0.500], [0.250, 0.750, 0.500], [0.500, 0.500, 0.000], [0.000, 0.000, 0.000]],
  "total_energy_ev_per_atom": -28.64,
  "dos_ef_per_ev_cell": 1.2,
  "formation_energy_uncorrected_mev_per_atom": 159,
  "de_polymorph_mev_per_atom": 0.0
}


No. 9
{
  "formula": "CaYPb2",
  "functional": "meta-GGA SCAN",
  "state": "PBEsol geometry",
  "cell": [[3.546, 0.000, 0.000], [0.000, 3.546, 0.000], [0.000, 0.000, 8.799]],
  "species": ["Pb", "Pb", "Y", "Ca"],
  "fractional_positions": [[0.000, 0.000, 0.755], [0.000, 0.000, 0.245], [0.500, 0.500, 0.000], [0.500, 0.500, 0.500]],
  "total_energy_ev_per_atom": -47.99,
  "dos_ef_per_ev_cell": 1.8,
  "delta_e_f_mev_per_atom": -721
}


No. 10
{
  "formula": "Li2AlIr",
  "functional": "meta-GGA SCAN",
  "state": "PBEsol geometry",
  "cell": [[2.937, 0.000, 0.000], [0.000, 4.094, 0.000], [0.000, 0.000, 4.476]],
  "species": ["Ir", "Al", "Li", "Li"],
  "fractional_positions": [[0.000, 0.500, 0.500], [0.500, 0.000, 0.500], [0.000, 0.000, 0.000], [0.500, 0.500, 0.000]],
  "total_energy_ev_per_atom": -21.44,
  "dos_ef_per_ev_cell": 1.3,
  "delta_e_f_mev_per_atom": -534
}


No. 11
{
  "formula": "LaZn2P",
  "functional": "meta-GGA SCAN",
  "state": "PBEsol geometry",
  "cell": [[4.116, 0.000, 0.000], [0.000, 4.116, 0.000], [0.000, 0.000, 4.768]],
  "species": ["La", "P", "Zn", "Zn"],
  "fractional_positions": [[0.500, 0.500, 0.500], [0.000, 0.000, 0.500], [0.000, 0.500, 0.000], [0.500, 0.000, 0.000]],
  "total_energy_ev_per_atom": -20.62,
  "dos_ef_per_ev_cell": 1.2,
  "delta_e_f_mev_per_atom": -482
}


No. 12
{
  "formula": "Cr4OF11",
  "functional": "meta-GGA SCAN",
  "state": "PBEsol geometry",
  "cell": [[-2.288, -2.296, 3.685], [4.440, 0.005, 2.760], [-2.274, 6.205, 2.453]],
  "species": ["Cr", "Cr", "Cr", "Cr", "O", "F", "F", "F", "F", "F", "F", "F", "F", "F", "F", "F"],
  "fractional_positions": [[0.002, 0.999, 0.750], [0.002, 0.001, 0.250], [0.496, 0.500, 0.766], [0.496, 0.500, 0.234], [0.373, 0.500, 0.000], [0.142, 0.000, 0.000], [0.614, 0.500, 0.500], [0.862, 0.000, 0.500], [0.186, 0.315, 0.315], [0.186, 0.685, 0.685], [0.317, 0.185, 0.684], [0.317, 0.815, 0.316], [0.684, 0.183, 0.183], [0.684, 0.817, 0.817], [0.820, 0.318, 0.817], [0.820, 0.682, 0.183]],
  "total_energy_ev_per_atom": -10.40,
  "formation_energy_uncorrected_mev_per_atom": -2985,
  "de_polymorph_mev_per_atom": 2.8
}


No. 13
{
  "formula": "Li2MgNi3O8",
  "functional": "meta-GGA SCAN",
  "state": "PBEsol geometry",
  "cell": [[5.639, 0.000, 0.000], [-2.820, 4.898, 0.009], [0.000, -3.251, 4.767]],
  "species": ["Li", "Li", "Mg", "Ni", "Ni", "Ni", "O", "O", "O", "O", "O", "O", "O", "O"],
  "fractional_positions": [[0.500, 0.000, 0.500], [0.000, 0.000, 0.500], [0.000, 0.000, 0.000], [0.000, 0.500, 0.000], [0.500, 0.500, 0.000], [0.500, 0.000, 0.000], [0.716, 0.960, 0.214], [0.284, 0.040, 0.786], [0.755, 0.040, 0.786], [0.245, 0.960, 0.214], [0.267, 0.535, 0.804], [0.733, 0.465, 0.196], [0.248, 0.496, 0.210], [0.752, 0.504, 0.790]],
  "total_energy_ev_per_atom": -9.32,
  "formation_energy_uncorrected_mev_per_atom": -1596
}


No. 14
{
  "formula": "BeCrIr",
  "functional": "meta-GGA SCAN",
  "state": "PBEsol geometry",
  "cell": [[2.747, 0.000, 0.000], [0.000, 2.747, 0.000], [-1.373, -1.373, 4.372]],
  "species": ["Cr", "Ir", "Be"],
  "fractional_positions": [[0.659, 0.659, 0.318], [0.342, 0.342, 0.683], [0.000, 0.000, 0.999]],
  "total_energy_ev_per_atom": -31.67,
  "dos_ef_per_ev_cell": 1.5,
  "delta_e_f_mev_per_atom": -391
}


No. 15
{
  "formula": "La2Si2PbSe8",
  "functional": "meta-GGA SCAN",
  "state": "PBEsol geometry",
  "cell": [[9.345, 0.000, 0.000], [-4.673, 7.990, -0.003], [0.000, -5.046, 9.326]],
  "species": ["Pb", "Pb", "Si", "Si", "Si", "Si", "Se", "Se", "Se", "Se", "Se", "Se", "Se", "Se", "Se", "Se", "Se", "Se", "Se", "Se", "Se", "Se", "La", "La", "La", "La"],
  "fractional_positions": [[0.744, 0.328, 0.741], [0.584, 0.328, 0.241], [0.855, 0.181, 0.020], [0.326, 0.181, 0.520], [0.171, 0.819, 0.981], [0.649, 0.819, 0.481], [0.929, 0.336, 0.266], [0.407, 0.336, 0.766], [0.096, 0.675, 0.735], [0.578, 0.675, 0.235], [0.614, 0.142, 0.920], [0.793, 0.879, 0.942], [0.086, 0.350, 0.951], [0.086, 0.879, 0.442], [0.528, 0.142, 0.420], [0.264, 0.350, 0.451], [0.408, 0.831, 0.052], [0.226, 0.118, 0.072], [0.953, 0.657, 0.065], [0.891, 0.118, 0.572], [0.423, 0.831, 0.552], [0.704, 0.657, 0.565], [0.441, 0.687, 0.750], [0.057, 0.998, 0.755], [0.246, 0.687, 0.250], [0.941, 0.998, 0.255]],
  "total_energy_ev_per_atom": -27.60,
  "dos_ef_per_ev_cell": 0.0,
  "formation_energy_uncorrected_mev_per_atom": -1242
}


No. 16
{
  "formula": "MgAsAuBr2",
  "functional": "meta-GGA SCAN",
  "state": "PBEsol geometry",
  "cell": [[-0.882, -0.986, -4.961], [5.092, -0.257, -0.854], [-0.085, -5.067, 1.022]],
  "species": ["As", "Au", "Mg", "Br", "Br"],
  "fractional_positions": [[0.500, 0.000, 0.000], [0.000, 0.000, 0.000], [0.500, 0.500, 0.500], [0.000, 0.000, 0.500], [0.000, 0.500, 0.000]],
  "total_energy_ev_per_atom": -26.45,
  "dos_ef_per_ev_cell": 2.2,
  "formation_energy_uncorrected_mev_per_atom": 194
}


No. 17
{
  "formula": "MgIn2Ga2",
  "functional": "meta-GGA SCAN",
  "state": "PBEsol geometry",
  "cell": [[-0.766, -4.369, -0.441], [1.730, -0.712, 4.046], [-5.735, 3.222, 0.564]],
  "species": ["Mg", "Ga", "Ga", "In", "In"],
  "fractional_positions": [[0.000, 0.000, 0.000], [0.396, 0.396, 0.792], [0.604, 0.604, 0.208], [0.250, 0.750, 0.500], [0.750, 0.250, 0.500]],
  "total_energy_ev_per_atom": -20.84,
  "dos_ef_per_ev_cell": 1.9,
  "delta_e_f_mev_per_atom": 47
}


No. 18
{
  "formula": "Co8Ir",
  "functional": "meta-GGA SCAN",
  "state": "PBEsol geometry",
  "cell": [[3.513, 0.000, 0.000], [1.756, 5.269, 0.000], [1.756, 0.000, 5.269]],
  "species": ["Co", "Co", "Co", "Co", "Co", "Co", "Co", "Co", "Ir"],
  "fractional_positions": [[0.000, 0.338, 0.662], [0.000, 0.662, 0.338], [0.662, 0.338, 0.338], [0.671, 0.658, 0.000], [0.671, 0.000, 0.658], [0.338, 0.662, 0.662], [0.329, 0.000, 0.342], [0.329, 0.342, 0.000], [0.000, 0.000, 0.000]],
  "total_energy_ev_per_atom": -23.27,
  "dos_ef_per_ev_cell": 6.2,
  "delta_e_f_mev_per_atom": 16
}


No. 19
{
  "formula": "NiMo2Rh",
  "functional": "meta-GGA SCAN",
  "state": "PBEsol geometry",
  "cell": [[-0.843, 1.688, 1.889], [2.678, -1.346, 2.399], [3.390, 3.645, -1.740]],
  "species": ["Ni", "Mo", "Mo", "Rh"],
  "fractional_positions": [[0.500, 0.500, 0.000], [0.000, 0.000, 0.756], [0.000, 0.000, 0.244], [0.500, 0.500, 0.500]],
  "total_energy_ev_per_atom": -30.00,
  "dos_ef_per_ev_cell": 2.7,
  "de_polymorph_mev_per_atom": 5.4,
  "delta_e_f_mev_per_atom": -75
}


No. 20
{
  "formula": "Ba2NaSn2",
  "functional": "meta-GGA SCAN",
  "state": "PBEsol geometry",
  "cell": [[4.385, 0.000, 0.000], [0.000, 4.385, 0.000], [-2.193, -2.193, 10.919]],
  "species": ["Na", "Ba", "Ba", "Sn", "Sn"],
  "fractional_positions": [[0.000, 0.000, 0.000], [0.376, 0.376, 0.752], [0.624, 0.624, 0.248], [0.250, 0.750, 0.500], [0.750, 0.250, 0.500]],
  "total_energy_ev_per_atom": -31.25,
  "dos_ef_per_ev_cell": 3.5,
  "de_polymorph_mev_per_atom": 351.8,
  "delta_e_f_mev_per_atom": -222
}